[1]
First-principles (PBE) data for a geometry-optimized KCd3Rh structure, as listed in Alexandria via LeMat-Bulk.

Summary:
SG: Cmcm (63)
calculated formation energy: 0.156 eV/atom

a b c (Å): 9.902 9.902 5.444
angles (deg): 90.00 90.00 148.32
Positions (direct):
Rh1 0.478 0.522 0.750
Rh2 0.522 0.478 0.250
Cd1 0.000 0.000 0.000
Cd2 0.856 0.627 0.750
Cd3 0.627 0.856 0.250
Cd4 0.144 0.373 0.250
Cd5 0.000 0.000 0.500
Cd6 0.373 0.144 0.750
K1 0.201 0.799 0.250
K2 0.799 0.201 0.750



[2]
First-principles (PBE) data for a geometry-optimized KCd3Rh structure, as listed in Alexandria via LeMat-Bulk.

Summary:
SG: Imma (74)
calculated formation energy: -0.029 eV/atom

a b c (Å): 6.226 7.842 11.310
angles (deg): 90.00 90.00 90.00
Positions (direct):
Cd1 0.000 0.067 0.150
Cd2 0.500 0.933 0.650
Cd3 0.000 0.567 0.850
Cd4 0.000 0.433 0.150
Cd5 0.750 0.750 0.250
Cd6 0.250 0.750 0.250
Cd7 0.250 0.250 0.750
Cd8 0.500 0.433 0.350
Cd9 0.500 0.067 0.350
Cd10 0.750 0.250 0.750
Cd11 0.000 0.933 0.850
Cd12 0.500 0.567 0.650
Rh1 0.000 0.750 0.056
Rh2 0.000 0.250 0.944
Rh3 0.500 0.750 0.444
Rh4 0.500 0.250 0.556
K1 0.000 0.000 0.500
K2 0.500 0.000 0.000
K3 0.000 0.500 0.500
K4 0.500 0.500 0.000



[3]
First-principles (PBE) data for a geometry-optimized KCd3Rh structure, as listed in Alexandria via LeMat-Bulk.

Summary:
SG: R-3m (166)
calculated formation energy: 0.015 eV/atom

a b c (Å): 7.211 7.211 7.211
angles (deg): 61.33 61.33 61.33
Positions (direct):
Cd1 0.859 0.435 0.435
Cd2 0.435 0.435 0.859
Cd3 0.565 0.141 0.565
Cd4 0.141 0.565 0.565
Cd5 0.435 0.859 0.435
Cd6 0.565 0.565 0.141
Rh1 0.304 0.304 0.304
Rh2 0.696 0.696 0.696
K1 0.902 0.902 0.902
K2 0.098 0.098 0.098



[4]
First-principles (PBE) data for a geometry-optimized KCdRh structure, as listed in Alexandria via LeMat-Bulk.

Summary:
SG: F-43m (216)
calculated formation energy: 0.532 eV/atom

a b c (Å): 4.819 4.819 4.819
angles (deg): 60.00 60.00 60.00
Positions (direct):
Cd1 0.000 0.000 0.000
Rh1 0.750 0.750 0.750
K1 0.500 0.500 0.500



no.,energy relative to the lowest polymorph listed for this composition (meV/atom)
1,271
2,86
3,130
4,370